# 1
Density functional theory data (PBE) for a relaxed Li3Ga4Ru crystal.

**Formation enthalpy at 0 K**: -0.315 eV/atom

abc: 3.0667 3.0667 13.0108
angles: 90.00 90.00 90.00
Positions (direct):
Li 0.0000 0.0000 0.0000
Li 0.0000 0.0000 0.2679
Li 0.0000 0.0000 0.7321
Ga 0.5000 0.5000 0.1419
Ga 0.5000 0.5000 0.3899
Ga 0.5000 0.5000 0.6101
Ga 0.5000 0.5000 0.8581
Ru 0.0000 0.0000 0.5000


# 2
Density functional theory data (PBE) for a relaxed Li2GaRu crystal.

**Formation enthalpy at 0 K**: -0.209 eV/atom

abc: 3.1879 3.9668 4.3359
angles: 90.00 90.00 90.00
Positions (direct):
Li 0.0000 0.0000 0.0000
Li 0.5000 0.5000 0.0000
Ga 0.0000 0.5000 0.5000
Ru 0.5000 0.0000 0.5000


# 3
Density functional theory data (PBE) for a relaxed LiGa4Ru3 crystal.

**Formation enthalpy at 0 K**: -0.365 eV/atom

abc: 4.2875 4.2875 6.0590
angles: 90.00 90.00 90.00
Positions (direct):
Li 0.0000 0.0000 0.0000
Ga 0.0000 0.5000 0.2566
Ga 0.0000 0.5000 0.7434
Ga 0.5000 0.0000 0.2566
Ga 0.5000 0.0000 0.7434
Ru 0.0000 0.0000 0.5000
Ru 0.5000 0.5000 0.0000
Ru 0.5000 0.5000 0.5000


# 4
Density functional theory data (PBE) for a relaxed LiGa2Ru2 crystal.

**Energy above the lowest structure with this stoichiometry**: 313.4 meV/atom
**Formation enthalpy at 0 K**: 0.088 eV/atom

abc: 4.5473 4.5473 8.6660
angles: 90.00 90.00 90.00
Positions (direct):
Li 0.0000 0.0000 0.0000
Li 0.5000 0.5000 0.5000
Ga 0.0000 0.5000 0.2500
Ga 0.0000 0.5000 0.7500
Ga 0.5000 0.0000 0.2500
Ga 0.5000 0.0000 0.7500
Ru 0.0000 0.0000 0.3664
Ru 0.0000 0.0000 0.6336
Ru 0.5000 0.5000 0.1336
Ru 0.5000 0.5000 0.8664


# 5
Density functional theory data (PBE) for a relaxed LiSc2GaRu crystal.

**Formation enthalpy at 0 K**: 0.462 eV/atom

abc: 4.6775 4.6775 4.1159
angles: 90.00 90.00 90.00
Positions (direct):
Li 0.0000 0.0000 0.0000
Sc 0.0000 0.5000 0.0000
Sc 0.5000 0.0000 0.0000
Ga 0.0000 0.0000 0.5000
Ru 0.5000 0.5000 0.5000


# 6
Density functional theory data (PBE) for a relaxed LiGa2RuSe crystal.

**Formation energy (no corrections)**: 613 meV/atom

abc: 5.1837 5.1837 4.5886
angles: 90.00 90.00 90.00
Positions (direct):
Li 0.0000 0.0000 0.0000
Ga 0.0000 0.5000 0.5000
Ga 0.5000 0.0000 0.5000
Ru 0.5000 0.5000 0.0000
Se 0.5000 0.5000 0.5000


# 7
Density functional theory data (PBE) for a relaxed LiGaRuSe2 crystal.

**Formation energy (no corrections)**: 625 meV/atom

abc: 4.6238 4.6238 4.3250
angles: 90.00 90.00 90.00
Positions (direct):
Li 0.0000 0.0000 0.0000
Ga 0.0000 0.0000 0.5000
Ru 0.5000 0.5000 0.5000
Se 0.0000 0.5000 0.0000
Se 0.5000 0.0000 0.0000


# 8
Density functional theory data (PBE) for a relaxed LiGaSiRu crystal.

**Formation energy (no corrections)**: -325 meV/atom

abc: 5.9708 5.9708 5.9708
angles: 90.00 90.00 90.00
Positions (direct):
Li 0.0000 0.0000 0.0000
Li 0.0000 0.5000 0.5000
Li 0.5000 0.0000 0.5000
Li 0.5000 0.5000 0.0000
Ga 0.2500 0.2500 0.7500
Ga 0.2500 0.7500 0.2500
Ga 0.7500 0.2500 0.2500
Ga 0.7500 0.7500 0.7500
Si 0.2500 0.2500 0.2500
Si 0.2500 0.7500 0.7500
Si 0.7500 0.2500 0.7500
Si 0.7500 0.7500 0.2500
Ru 0.0000 0.0000 0.5000
Ru 0.0000 0.5000 0.0000
Ru 0.5000 0.0000 0.0000
Ru 0.5000 0.5000 0.5000


# 9
Density functional theory data (PBE) for a relaxed LiSmGa4Ru2 crystal.

**Formation enthalpy at 0 K**: -0.415 eV/atom

abc: 8.9535 8.9535 8.9535
angles: 27.50 27.50 27.50
Positions (direct):
Li 0.0000 0.0000 0.0000
Sm 0.5000 0.5000 0.5000
Ga 0.0992 0.0992 0.0992
Ga 0.3689 0.3689 0.3689
Ga 0.6311 0.6311 0.6311
Ga 0.9008 0.9008 0.9008
Ru 0.2680 0.2680 0.2680
Ru 0.7320 0.7320 0.7320


# 10
Density functional theory data (PBE) for a relaxed SrLiGa2Ru crystal.

**Formation enthalpy at 0 K**: -0.282 eV/atom

abc: 4.8015 4.8015 4.8922
angles: 90.00 90.00 90.00
Positions (direct):
Sr 0.0000 0.0000 0.0000
Li 0.5000 0.5000 0.0000
Ga 0.0000 0.5000 0.5000
Ga 0.5000 0.0000 0.5000
Ru 0.5000 0.5000 0.5000


# 11
Density functional theory data (PBE) for a relaxed LiTbGa4Ru2 crystal.

**Formation enthalpy at 0 K**: -0.412 eV/atom

abc: 8.8137 8.8137 8.8137
angles: 27.91 27.91 27.91
Positions (direct):
Li 0.0000 0.0000 0.0000
Tb 0.5000 0.5000 0.5000
Ga 0.1010 0.1010 0.1010
Ga 0.3691 0.3691 0.3691
Ga 0.6309 0.6309 0.6309
Ga 0.8990 0.8990 0.8990
Ru 0.2663 0.2663 0.2663
Ru 0.7337 0.7337 0.7337


# 12
Density functional theory data (PBE) for a relaxed LiThGaRu crystal.

**Formation enthalpy at 0 K**: -0.318 eV/atom

abc: 6.6666 6.6666 6.6666
angles: 90.00 90.00 90.00
Positions (direct):
Li 0.0000 0.0000 0.0000
Li 0.0000 0.5000 0.5000
Li 0.5000 0.0000 0.5000
Li 0.5000 0.5000 0.0000
Th 0.2500 0.2500 0.2500
Th 0.2500 0.7500 0.7500
Th 0.7500 0.2500 0.7500
Th 0.7500 0.7500 0.2500
Ga 0.2500 0.2500 0.7500
Ga 0.2500 0.7500 0.2500
Ga 0.7500 0.2500 0.2500
Ga 0.7500 0.7500 0.7500
Ru 0.0000 0.0000 0.5000
Ru 0.0000 0.5000 0.0000
Ru 0.5000 0.0000 0.0000
Ru 0.5000 0.5000 0.5000


no.,V (Å³/f.u.)
1,122
2,55
3,111
4,90
5,90
6,123
7,92
8,53
9,135
10,113
11,132
12,74